(1)
The following is a PBE calculation of crystalline Pr6Nd3HoTm2 at its relaxed geometry, from Alexandria.

abc: 6.3470 10.9980 12.0103
angles: 90.00 100.14 90.00
With the nearest neighbours (Å) after each atom.
Space group C2/m (No. 12)
Unique sites:
1 Pr 0.2487 0.0000 0.2448 (multiplicity 4)  1 Ho 3.58, 2 Tm 3.59, 6 Pr 3.66-3.67, 3 Nd 3.69
2 Pr 0.2492 0.3332 0.2448 (multiplicity 8)  2 Tm 3.58-3.59, 1 Ho 3.59, 6 Pr 3.66-3.67, 3 Nd 3.68-3.69
3 Nd 0.0000 0.0000 0.5000 (multiplicity 2)  6 Nd 3.66-3.67, 6 Pr 3.68-3.69
4 Nd 0.0000 0.3333 0.5000 (multiplicity 4)  6 Nd 3.66-3.67, 6 Pr 3.68-3.69
5 Ho 0.0000 0.5000 0.0000 (multiplicity 2)  6 Pr 3.58-3.59, 6 Tm 3.66-3.67
6 Tm 0.0000 0.1666 0.0000 (multiplicity 4)  6 Pr 3.58-3.59, 3 Ho 3.66-3.67, 3 Tm 3.67

Computed properties:
**Energy of formation**: 0.19 eV/f.u.

***

(2)
The following is a PBE calculation of crystalline Pr2Nd5HoTm at its relaxed geometry, from Alexandria.

abc: 8.5961 8.5961 17.0214
angles: 90.00 90.00 90.00
With the nearest neighbours (Å) after each atom.
Space group I4/mcm (No. 140)
Unique sites:
1 Pr 0.1230 0.3770 0.0000 (multiplicity 8)  1 Pr 2.99, 2 Nd 3.11
2 Nd 0.0000 0.0000 0.0000 (multiplicity 4)  4 Pr 3.41
3 Nd 0.2208 0.2792 0.3553 (multiplicity 16)  1 Pr 3.11, 1 Tm 3.23
4 Ho 0.0000 0.0000 0.2500 (multiplicity 4)  8 Nd 3.55
5 Tm 0.0000 0.5000 0.2500 (multiplicity 4)  4 Nd 3.23

Computed properties:
**Energy of formation**: 2.44 eV/f.u.

***

Taking the records one at a time from the top gives E_tot values of -4.69; -4.45 eV/atom.
Taking the records one at a time from the top gives ρ values of 7.17; 7.06 g cm⁻³.